1.
Entry from Alexandria: an optimized crystal structure of ZnBO2F (PBE).

**ΔE_f (raw)**: 378 meV per atom
**V**: 12.1 A^3/atom
**E**: -3.570 eV per atom

Geometry as CIF:
```
data_ZnBO2F
_chemical_formula_sum 'Zn1 B1 O2 F1'
_symmetry_space_group_name_H-M 'P 4/m m m'
_symmetry_Int_Tables_number 123
_symmetry_space_group_name_Hall '-P 4 2'
_cell_length_a 3.854
_cell_length_b 3.854
_cell_length_c 4.057
_cell_angle_alpha 90.00
_cell_angle_beta 90.00
_cell_angle_gamma 90.00
loop_
_atom_site_label
_atom_site_fract_x
_atom_site_fract_y
_atom_site_fract_z
_atom_site_occupancy
Zn1 0.000 0.000 0.000 1
B1 0.500 0.500 0.500 1
O1 0.000 0.500 0.000 1
F1 0.000 0.000 0.500 1
```

2.
Entry from Alexandria: an optimized crystal structure of LaPmRuI (PBE).

**ΔE_f (raw)**: -687 meV per atom
**V**: 30.8 A^3/atom
**E**: -5.813 eV per atom

Geometry as CIF:
```
data_LaPmRuI
_chemical_formula_sum 'La2 Pm2 Ru2 I2'
_symmetry_space_group_name_H-M 'C 1 m 1'
_symmetry_Int_Tables_number 8
_symmetry_space_group_name_Hall 'C -2y'
_cell_length_a 7.186
_cell_length_b 4.154
_cell_length_c 8.584
_cell_angle_alpha 90.00
_cell_angle_beta 106.12
_cell_angle_gamma 90.00
loop_
_atom_site_label
_atom_site_fract_x
_atom_site_fract_y
_atom_site_fract_z
_atom_site_occupancy
La1 0.000 0.000 0.000 1
Pm1 0.290 0.500 0.369 1
Ru1 0.394 0.000 0.179 1
I1 0.224 0.000 0.672 1
```

| no. | mass density (g cm⁻³) | magnetization (μB/f.u.) |
| --- | --- | --- |
| 1 | 3.51 | 1.47 |
| 2 | 6.91 | 0.00 |